VASP calculation (PBE) on an optimized crystal structure of Ac3Sm3ErS8.

Properties
* calculated volume: 26.6 A^3/atom
* density of states at the Fermi level: 0.4768 states/eV/atom
* formation energy (no corrections): -2042 meV per atom
* raw total energy: -6.313 eV/atom

POSCAR file:
```
Ac3Sm3ErS8
1.0
4.080 2.356 6.914
-4.080 2.356 6.914
0.000 -4.711 6.914
Ac Sm Er S
3 3 1 8
Direct
0.000 0.500 0.500
0.500 0.000 0.500
0.500 0.500 0.000
0.000 0.000 0.500
0.000 0.500 0.000
0.500 0.000 0.000
0.500 0.500 0.500
0.243 0.243 0.243
0.250 0.737 0.737
0.263 0.263 0.750
0.263 0.750 0.263
0.737 0.250 0.737
0.737 0.737 0.250
0.750 0.263 0.263
0.757 0.757 0.757
```

VASP calculation (PBE) on an optimized crystal structure of Sr3Ac3ErS8.

Properties
* calculated volume: 29.2 A^3/atom
* density of states at the Fermi level: 0.3786 states/eV/atom
* formation energy (no corrections): -2082 meV per atom
* raw total energy: -5.745 eV/atom

POSCAR file:
```
Sr3Ac3ErS8
1.0
4.251 2.455 6.986
-4.251 2.455 6.986
0.000 -4.909 6.986
Sr Ac Er S
3 3 1 8
Direct
0.000 0.500 0.500
0.500 0.000 0.500
0.500 0.500 0.000
0.000 0.000 0.500
0.000 0.500 0.000
0.500 0.000 0.000
0.500 0.500 0.500
0.252 0.252 0.252
0.269 0.730 0.730
0.270 0.270 0.731
0.270 0.731 0.270
0.730 0.269 0.730
0.730 0.730 0.269
0.731 0.270 0.270
0.748 0.748 0.748
```

VASP calculation (PBE) on an optimized crystal structure of AcTbEr2S4.

Properties
* calculated volume: 22.6 A^3/atom
* density of states at the Fermi level: 0.5166 states/eV/atom
* formation energy (no corrections): -1940 meV per atom
* raw total energy: -6.237 eV/atom

POSCAR file:
```
AcTbEr2S4
1.0
6.857 0.000 0.000
0.000 3.924 0.000
-2.256 0.000 6.718
Ac Tb Er S
1 1 2 4
Direct
0.000 0.000 0.000
0.500 0.500 0.000
0.000 0.500 0.500
0.500 0.000 0.500
0.255 0.000 0.733
0.270 0.500 0.276
0.730 0.500 0.724
0.745 0.000 0.267
```

The lowest raw total energy belongs to which entry?
Ac3Sm3ErS8

What did the second record say?
VASP calculation (PBE) on an optimized crystal structure of Sr3Ac3ErS8.

Properties
* calculated volume: 29.2 A^3/atom
* density of states at the Fermi level: 0.3786 states/eV/atom
* formation energy (no corrections): -2082 meV per atom
* raw total energy: -5.745 eV/atom

POSCAR file:
```
Sr3Ac3ErS8
1.0
4.251 2.455 6.986
-4.251 2.455 6.986
0.000 -4.909 6.986
Sr Ac Er S
3 3 1 8
Direct
0.000 0.500 0.500
0.500 0.000 0.500
0.500 0.500 0.000
0.000 0.000 0.500
0.000 0.500 0.000
0.500 0.000 0.000
0.500 0.500 0.500
0.252 0.252 0.252
0.269 0.730 0.730
0.270 0.270 0.731
0.270 0.731 0.270
0.730 0.269 0.730
0.730 0.730 0.269
0.731 0.270 0.270
0.748 0.748 0.748
```

Look up the formation energy (no corrections) of the first one.
-2042 meV per atom

What is the formula in the second record?
Sr3Ac3ErS8